No. 1
DFT (GGA-PBE) results for a relaxed structure of Na2VCrTe4.

Values from the calculation:
* density: 5.137 g/cm3
* E_form (uncorrected): -512 meV/atom
* N(E_F): 4.98 states/eV per cell
* electronic total energy: -38.0 eV for the cell shown
* SG: P2/m

a = 7.032 Å, b = 4.057 Å, c = 7.832 Å
α = 90.00°, β = 107.44°, γ = 90.00°
Atoms (fractional coordinates):
Na 0.000 0.000 0.000
Na 0.500 0.500 0.000
V 0.000 0.500 0.500
Cr 0.500 0.000 0.500
Te 0.235 0.000 0.702
Te 0.268 0.500 0.300
Te 0.732 0.500 0.700
Te 0.765 0.000 0.298

No. 2
DFT (GGA-PBE) results for a relaxed structure of Na3V2CrTe6.

Values from the calculation:
* density: 5.160 g/cm3
* E_form (uncorrected): -523 meV/atom
* N(E_F): 3.95 states/eV per cell
* electronic total energy: -56.9 eV for the cell shown
* SG: C2/m

a = 6.972 Å, b = 6.972 Å, c = 7.831 Å
α = 98.57°, β = 98.57°, γ = 119.05°
Atoms (fractional coordinates):
Na 0.000 0.000 0.000
Na 0.324 0.676 0.000
Na 0.676 0.324 0.000
V 0.151 0.849 0.500
V 0.849 0.151 0.500
Cr 0.500 0.500 0.500
Te 0.105 0.441 0.304
Te 0.248 0.248 0.715
Te 0.441 0.105 0.304
Te 0.559 0.895 0.696
Te 0.752 0.752 0.285
Te 0.895 0.559 0.696

No. 3
DFT (GGA-PBE) results for a relaxed structure of NaZnCrTe2.

Values from the calculation:
* density: 4.526 g/cm3
* E_form (uncorrected): 433 meV/atom
* N(E_F): 2.76 states/eV per cell
* electronic total energy: -16.3 eV for the cell shown
* SG: P4/mmm

a = 5.421 Å, b = 5.421 Å, c = 4.939 Å
α = 90.00°, β = 90.00°, γ = 90.00°
Atoms (fractional coordinates):
Na 0.000 0.000 0.000
Zn 0.000 0.000 0.500
Cr 0.500 0.500 0.000
Te 0.000 0.500 0.500
Te 0.500 0.000 0.500